Entry 1:
# AcPuTc4 | Alexandria | GGA-PBE | optimized geometry
data_AcPuTc4
_space_group_name_H-M_alt 'F -4 3 m'
_space_group_IT_number 216
_space_group_name_Hall 'F -4 2 3'
_cell_length_a 7.760
_cell_length_b 7.760
_cell_length_c 7.760
_cell_angle_alpha 90.00
_cell_angle_beta 90.00
_cell_angle_gamma 90.00
loop_
_atom_site_label
_atom_site_type_symbol
_atom_site_fract_x
_atom_site_fract_y
_atom_site_fract_z
Ac1 Ac 0.000 0.000 0.000
Pu1 Pu 0.250 0.250 0.750
Tc1 Tc 0.124 0.124 0.376
# ΔH_f (0 K): 0.21 eV per atom


Entry 2:
# AcPuTc | Alexandria | GGA-PBE | optimized geometry
data_AcPuTc
_space_group_name_H-M_alt 'I 4 m m'
_space_group_IT_number 107
_space_group_name_Hall 'I 4 -2'
_cell_length_a 3.632
_cell_length_b 3.632
_cell_length_c 11.975
_cell_angle_alpha 90.00
_cell_angle_beta 90.00
_cell_angle_gamma 90.00
loop_
_atom_site_label
_atom_site_type_symbol
_atom_site_fract_x
_atom_site_fract_y
_atom_site_fract_z
Ac1 Ac 0.000 0.000 0.000
Pu1 Pu 0.000 0.000 0.279
Tc1 Tc 0.000 0.000 0.703
# ΔH_f (0 K): 0.21 eV per atom
# Offset from the most stable computed form: 31 kJ/mol of formula units


Entry 3:
# AcPu2Tc | Alexandria | GGA-PBE | optimized geometry
data_AcPu2Tc
_space_group_name_H-M_alt 'P 4/m m m'
_space_group_IT_number 123
_space_group_name_Hall '-P 4 2'
_cell_length_a 3.452
_cell_length_b 3.452
_cell_length_c 8.869
_cell_angle_alpha 90.00
_cell_angle_beta 90.00
_cell_angle_gamma 90.00
loop_
_atom_site_label
_atom_site_type_symbol
_atom_site_fract_x
_atom_site_fract_y
_atom_site_fract_z
Ac1 Ac 0.000 0.000 0.000
Pu1 Pu 0.500 0.500 0.314
Tc1 Tc 0.000 0.000 0.500
# ΔH_f (0 K): 0.20 eV per atom
# Offset from the most stable computed form: 0 kJ/mol of formula units


Entry 4:
# AcPu2Tc | Alexandria | GGA-PBE | optimized geometry
data_AcPu2Tc
_space_group_name_H-M_alt 'R -3 m'
_space_group_IT_number 166
_space_group_name_Hall '-R 3 2"'
_cell_length_a 3.4490
_cell_length_b 3.4490
_cell_length_c 32.6716
_cell_angle_alpha 90.00
_cell_angle_beta 90.00
_cell_angle_gamma 120.00
loop_
_atom_site_label
_atom_site_type_symbol
_atom_site_fract_x
_atom_site_fract_y
_atom_site_fract_z
Ac1 Ac 0.0000 0.0000 0.0000
Pu1 Pu 0.0000 0.0000 0.1049
Tc1 Tc 0.0000 0.0000 0.5000
# ΔH_f (0 K): 0.43 eV per atom
# Offset from the most stable computed form: 92 kJ/mol of formula units


Entry 5:
# AcPuTe | Alexandria | GGA-PBE | optimized geometry
data_AcPuTe
_space_group_name_H-M_alt 'I 4 m m'
_space_group_IT_number 107
_space_group_name_Hall 'I 4 -2'
_cell_length_a 4.113
_cell_length_b 4.113
_cell_length_c 11.936
_cell_angle_alpha 90.00
_cell_angle_beta 90.00
_cell_angle_gamma 90.00
loop_
_atom_site_label
_atom_site_type_symbol
_atom_site_fract_x
_atom_site_fract_y
_atom_site_fract_z
Ac1 Ac 0.000 0.000 0.000
Pu1 Pu 0.000 0.000 0.702
Te1 Te 0.000 0.000 0.314
# Uncorrected formation energy: -1.68 eV/f.u.
# Offset from the most stable computed form: 0 kJ/mol of formula units


Entry 6:
# Ac2PuTe | Alexandria | GGA-PBE | optimized geometry
data_Ac2PuTe
_space_group_name_H-M_alt 'P 4/m m m'
_space_group_IT_number 123
_space_group_name_Hall '-P 4 2'
_cell_length_a 5.864
_cell_length_b 5.864
_cell_length_c 4.002
_cell_angle_alpha 90.00
_cell_angle_beta 90.00
_cell_angle_gamma 90.00
loop_
_atom_site_label
_atom_site_type_symbol
_atom_site_fract_x
_atom_site_fract_y
_atom_site_fract_z
Ac1 Ac 0.000 0.500 0.000
Pu1 Pu 0.000 0.000 0.500
Te1 Te 0.500 0.500 0.500
# Uncorrected formation energy: -1.64 eV/f.u.


Entry 7:
# Ac5PuTe6 | Alexandria | GGA-PBE | optimized geometry
data_Ac5PuTe6
_space_group_name_H-M_alt 'C 1 2/m 1'
_space_group_IT_number 12
_cell_length_a 8.116
_cell_length_b 14.049
_cell_length_c 8.137
_cell_angle_alpha 90.00
_cell_angle_beta 109.41
_cell_angle_gamma 90.00
loop_
_space_group_symop_operation_xyz
'x,y,z'
'-x,-y,-z'
'-x,y,-z'
'x,-y,z'
'x+1/2,y+1/2,z'
'-x+1/2,-y+1/2,-z'
'-x+1/2,y+1/2,-z'
'x+1/2,-y+1/2,z'
loop_
_atom_site_label
_atom_site_type_symbol
_atom_site_fract_x
_atom_site_fract_y
_atom_site_fract_z
Ac1 Ac 0.000 0.000 0.000
Ac2 Ac 0.000 0.165 0.500
Ac3 Ac 0.000 0.327 0.000
Pu1 Pu 0.000 0.500 0.500
Te1 Te 0.238 0.500 0.252
Te2 Te 0.240 0.339 0.741
# Uncorrected formation energy: -17.07 eV/f.u.


Entry 8:
# Ac2PuTe3 | Alexandria | GGA-PBE | optimized geometry
data_Ac2PuTe3
_space_group_name_H-M_alt 'F d d d'
_space_group_IT_number 70
_cell_length_a 9.307
_cell_length_b 13.136
_cell_length_c 27.771
_cell_angle_alpha 90.00
_cell_angle_beta 90.00
_cell_angle_gamma 90.00
loop_
_space_group_symop_operation_xyz
'x,y,z'
'-x,-y,-z'
'-x+1/4,-y+1/4,z'
'x+1/4,y+1/4,-z'
'x,-y+1/4,-z+1/4'
'-x,y+1/4,z+1/4'
'-x+1/4,y,-z+1/4'
'x+1/4,-y,z+1/4'
'x,y+1/2,z+1/2'
'-x,-y+1/2,-z+1/2'
'-x+1/4,-y+3/4,z+1/2'
'x+1/4,y+3/4,-z+1/2'
'x,-y+3/4,-z+3/4'
'-x,y+3/4,z+3/4'
'-x+1/4,y+1/2,-z+3/4'
'x+1/4,-y+1/2,z+3/4'
'x+1/2,y,z+1/2'
'-x+1/2,-y,-z+1/2'
'-x+3/4,-y+1/4,z+1/2'
'x+3/4,y+1/4,-z+1/2'
'x+1/2,-y+1/4,-z+3/4'
'-x+1/2,y+1/4,z+3/4'
'-x+3/4,y,-z+3/4'
'x+3/4,-y,z+3/4'
'x+1/2,y+1/2,z'
'-x+1/2,-y+1/2,-z'
'-x+3/4,-y+3/4,z'
'x+3/4,y+3/4,-z'
'x+1/2,-y+3/4,-z+1/4'
'-x+1/2,y+3/4,z+1/4'
'-x+3/4,y+1/2,-z+1/4'
'x+3/4,-y+1/2,z+1/4'
loop_
_atom_site_label
_atom_site_type_symbol
_atom_site_fract_x
_atom_site_fract_y
_atom_site_fract_z
Ac1 Ac 0.125 0.125 0.044
Ac2 Ac 0.125 0.125 0.373
Pu1 Pu 0.125 0.125 0.542
Te1 Te 0.108 0.375 0.875
Te2 Te 0.117 0.368 0.711
# Uncorrected formation energy: -8.13 eV/f.u.
# Offset from the most stable computed form: 0 kJ/mol of formula units


Entry 9:
# AcPuTe | Alexandria | GGA-PBE | optimized geometry
data_AcPuTe
_space_group_name_H-M_alt 'R -3 m'
_space_group_IT_number 166
_space_group_name_Hall '-R 3 2"'
_cell_length_a 3.9325
_cell_length_b 3.9325
_cell_length_c 40.8618
_cell_angle_alpha 90.00
_cell_angle_beta 90.00
_cell_angle_gamma 120.00
loop_
_atom_site_label
_atom_site_type_symbol
_atom_site_fract_x
_atom_site_fract_y
_atom_site_fract_z
Ac1 Ac 0.0000 0.0000 0.1259
Pu1 Pu 0.0000 0.0000 0.3219
Te1 Te 0.0000 0.0000 0.3973
# Uncorrected formation energy: -1.09 eV/f.u.
# Offset from the most stable computed form: 57 kJ/mol of formula units


Entry 10:
# AcPu5Te6 | Alexandria | GGA-PBE | optimized geometry
data_AcPu5Te6
_space_group_name_H-M_alt 'C 1 2/m 1'
_space_group_IT_number 12
_cell_length_a 7.732
_cell_length_b 13.385
_cell_length_c 7.860
_cell_angle_alpha 90.00
_cell_angle_beta 109.17
_cell_angle_gamma 90.00
loop_
_space_group_symop_operation_xyz
'x,y,z'
'-x,-y,-z'
'-x,y,-z'
'x,-y,z'
'x+1/2,y+1/2,z'
'-x+1/2,-y+1/2,-z'
'-x+1/2,y+1/2,-z'
'x+1/2,-y+1/2,z'
loop_
_atom_site_label
_atom_site_type_symbol
_atom_site_fract_x
_atom_site_fract_y
_atom_site_fract_z
Ac1 Ac 0.000 0.000 0.000
Pu1 Pu 0.000 0.161 0.500
Pu2 Pu 0.000 0.332 0.000
Pu3 Pu 0.000 0.500 0.500
Te1 Te 0.239 0.500 0.253
Te2 Te 0.241 0.328 0.741
# Uncorrected formation energy: -13.46 eV/f.u.


Entry 11:
# Ac2PuTe3 | Alexandria | GGA-PBE | optimized geometry
data_Ac2PuTe3
_space_group_name_H-M_alt 'I m m m'
_space_group_IT_number 71
_space_group_name_Hall '-I 2 2'
_cell_length_a 4.636
_cell_length_b 6.583
_cell_length_c 13.947
_cell_angle_alpha 90.00
_cell_angle_beta 90.00
_cell_angle_gamma 90.00
loop_
_atom_site_label
_atom_site_type_symbol
_atom_site_fract_x
_atom_site_fract_y
_atom_site_fract_z
Ac1 Ac 0.000 0.000 0.171
Pu1 Pu 0.000 0.000 0.500
Te1 Te 0.000 0.500 0.155
Te2 Te 0.000 0.500 0.500
# Uncorrected formation energy: -8.11 eV/f.u.
# Offset from the most stable computed form: 1 kJ/mol of formula units


Entry 12:
# AcPuTe | Alexandria | GGA-PBE | optimized geometry
data_AcPuTe
_space_group_name_H-M_alt 'P -6 m 2'
_space_group_IT_number 187
_space_group_name_Hall 'P -6 2'
_cell_length_a 5.3496
_cell_length_b 5.3496
_cell_length_c 4.0906
_cell_angle_alpha 90.00
_cell_angle_beta 90.00
_cell_angle_gamma 120.00
loop_
_atom_site_label
_atom_site_type_symbol
_atom_site_fract_x
_atom_site_fract_y
_atom_site_fract_z
Ac1 Ac 0.0000 0.0000 0.0000
Pu1 Pu 0.3333 0.6667 0.5000
Te1 Te 0.6667 0.3333 0.5000
# Uncorrected formation energy: -1.25 eV/f.u.
# Offset from the most stable computed form: 42 kJ/mol of formula units


Entry 13:
# AcPu2Te3 | Alexandria | GGA-PBE | optimized geometry
data_AcPu2Te3
_space_group_name_H-M_alt 'I m m m'
_space_group_IT_number 71
_space_group_name_Hall '-I 2 2'
_cell_length_a 4.544
_cell_length_b 6.457
_cell_length_c 13.630
_cell_angle_alpha 90.00
_cell_angle_beta 90.00
_cell_angle_gamma 90.00
loop_
_atom_site_label
_atom_site_type_symbol
_atom_site_fract_x
_atom_site_fract_y
_atom_site_fract_z
Ac1 Ac 0.000 0.000 0.000
Pu1 Pu 0.000 0.000 0.337
Te1 Te 0.000 0.500 0.000
Te2 Te 0.000 0.500 0.322
# Uncorrected formation energy: -7.25 eV/f.u.


Entry 14:
# AcPuTe3 | Alexandria | GGA-PBE | optimized geometry
data_AcPuTe3
_space_group_name_H-M_alt 'P n m a'
_space_group_IT_number 62
_cell_length_a 8.513
_cell_length_b 4.638
_cell_length_c 17.555
_cell_angle_alpha 90.00
_cell_angle_beta 90.00
_cell_angle_gamma 90.00
loop_
_space_group_symop_operation_xyz
'x,y,z'
'-x,-y,-z'
'-x+1/2,-y,z+1/2'
'x+1/2,y,-z+1/2'
'x+1/2,-y+1/2,-z+1/2'
'-x+1/2,y+1/2,z+1/2'
'-x,y+1/2,-z'
'x,-y+1/2,z'
loop_
_atom_site_label
_atom_site_type_symbol
_atom_site_fract_x
_atom_site_fract_y
_atom_site_fract_z
Ac1 Ac 0.134 0.250 0.199
Pu1 Pu 0.223 0.750 0.460
Te1 Te 0.007 0.250 0.394
Te2 Te 0.125 0.750 0.057
Te3 Te 0.157 0.250 0.786
# Uncorrected formation energy: -6.50 eV/f.u.
# Offset from the most stable computed form: 0 kJ/mol of formula units


Entry 15:
# Ac3Pu5Te12 | Alexandria | GGA-PBE | optimized geometry
data_Ac3Pu5Te12
_space_group_name_H-M_alt 'I a -3 d'
_space_group_IT_number 230
_space_group_name_Hall '-I 4bd 2c 3'
_cell_length_a 18.745
_cell_length_b 18.745
_cell_length_c 18.745
_cell_angle_alpha 90.00
_cell_angle_beta 90.00
_cell_angle_gamma 90.00
loop_
_atom_site_label
_atom_site_type_symbol
_atom_site_fract_x
_atom_site_fract_y
_atom_site_fract_z
Ac1 Ac 0.000 0.250 0.125
Pu1 Pu 0.000 0.000 0.000
Pu2 Pu 0.000 0.250 0.375
Te1 Te 0.022 0.068 0.651
# Uncorrected formation energy: -20.05 eV/f.u.


Entry 16:
# Ac5Pu3Te8 | Alexandria | GGA-PBE | optimized geometry
data_Ac5Pu3Te8
_space_group_name_H-M_alt 'R -3 m'
_space_group_IT_number 166
_space_group_name_Hall '-R 3 2"'
_cell_length_a 9.2360
_cell_length_b 9.2360
_cell_length_c 22.8338
_cell_angle_alpha 90.00
_cell_angle_beta 90.00
_cell_angle_gamma 120.00
loop_
_atom_site_label
_atom_site_type_symbol
_atom_site_fract_x
_atom_site_fract_y
_atom_site_fract_z
Ac1 Ac 0.0000 0.0000 0.0000
Ac2 Ac 0.0000 0.0000 0.5000
Ac3 Ac 0.0000 0.5000 0.0000
Pu1 Pu 0.0000 0.5000 0.5000
Te1 Te 0.0000 0.0000 0.2436
Te2 Te 0.0088 0.5044 0.7543
# Uncorrected formation energy: -21.37 eV/f.u.


Entry 17:
# Ac4PuTe5 | Alexandria | GGA-PBE | optimized geometry
data_Ac4PuTe5
_space_group_name_H-M_alt 'I 4'
_space_group_IT_number 79
_cell_length_a 10.464
_cell_length_b 10.464
_cell_length_c 6.630
_cell_angle_alpha 90.00
_cell_angle_beta 90.00
_cell_angle_gamma 90.00
loop_
_space_group_symop_operation_xyz
'x,y,z'
'-y,x,z'
'-x,-y,z'
'y,-x,z'
'x+1/2,y+1/2,z+1/2'
'-y+1/2,x+1/2,z+1/2'
'-x+1/2,-y+1/2,z+1/2'
'y+1/2,-x+1/2,z+1/2'
loop_
_atom_site_label
_atom_site_type_symbol
_atom_site_fract_x
_atom_site_fract_y
_atom_site_fract_z
Ac1 Ac 0.094 0.697 0.000
Pu1 Pu 0.000 0.000 0.501
Te1 Te 0.000 0.000 0.001
Te2 Te 0.099 0.712 0.500
# Uncorrected formation energy: -14.05 eV/f.u.
# Offset from the most stable computed form: 8 kJ/mol of formula units


Entry 18:
# Ac3PuTe6 | Alexandria | GGA-PBE | optimized geometry
data_Ac3PuTe6
_space_group_name_H-M_alt 'P 1 21/m 1'
_space_group_IT_number 11
_cell_length_a 13.110
_cell_length_b 4.670
_cell_length_c 13.581
_cell_angle_alpha 90.00
_cell_angle_beta 108.24
_cell_angle_gamma 90.00
loop_
_space_group_symop_operation_xyz
'x,y,z'
'-x,-y,-z'
'-x,y+1/2,-z'
'x,-y+1/2,z'
loop_
_atom_site_label
_atom_site_type_symbol
_atom_site_fract_x
_atom_site_fract_y
_atom_site_fract_z
Ac1 Ac 0.086 0.250 0.170
Ac2 Ac 0.184 0.750 0.507
Ac3 Ac 0.342 0.250 0.925
Pu1 Pu 0.460 0.250 0.317
Te1 Te 0.017 0.250 0.380
Te2 Te 0.093 0.250 0.927
Te3 Te 0.266 0.750 0.292
Te4 Te 0.321 0.750 0.752
Te5 Te 0.396 0.250 0.540
Te6 Te 0.416 0.750 0.110
# Uncorrected formation energy: -13.60 eV/f.u.


Entry 19:
# AcPu2Te4 | Alexandria | GGA-PBE | optimized geometry
data_AcPu2Te4
_space_group_name_H-M_alt 'C m c m'
_space_group_IT_number 63
_space_group_name_Hall '-C 2c 2'
_cell_length_a 4.493
_cell_length_b 14.516
_cell_length_c 15.258
_cell_angle_alpha 90.00
_cell_angle_beta 90.00
_cell_angle_gamma 90.00
loop_
_atom_site_label
_atom_site_type_symbol
_atom_site_fract_x
_atom_site_fract_y
_atom_site_fract_z
Ac1 Ac 0.000 0.115 0.250
Pu1 Pu 0.000 0.366 0.062
Te1 Te 0.000 0.000 0.000
Te2 Te 0.000 0.272 0.622
Te3 Te 0.000 0.448 0.250
# Uncorrected formation energy: -8.63 eV/f.u.


Number 1: Fermi-level density of states 15.21 states/eV/f.u., final energy -9.77 eV/atom. Number 2: Fermi-level density of states 7.25 states/eV/f.u., final energy -9.39 eV/atom. Number 3: Fermi-level density of states 12.67 states/eV/f.u., final energy -10.59 eV/atom. Number 4: Fermi-level density of states 13.96 states/eV/f.u., final energy -10.35 eV/atom. Number 5: Fermi-level density of states 9.79 states/eV/f.u., final energy -7.75 eV/atom. Number 6: Fermi-level density of states 11.57 states/eV/f.u., final energy -6.83 eV/atom. Number 7: Fermi-level density of states 18.51 states/eV/f.u., final energy -5.90 eV/atom. Number 8: Fermi-level density of states 13.70 states/eV/f.u., final energy -6.68 eV/atom. Number 9: Fermi-level density of states 5.11 states/eV/f.u., final energy -7.56 eV/atom. Number 10: Fermi-level density of states 59.03 states/eV/f.u., final energy -9.01 eV/atom. Number 11: Fermi-level density of states 13.02 states/eV/f.u., final energy -6.68 eV/atom. Number 12: Fermi-level density of states 10.10 states/eV/f.u., final energy -7.61 eV/atom. Number 13: Fermi-level density of states 23.94 states/eV/f.u., final energy -8.24 eV/atom. Number 14: Fermi-level density of states 12.46 states/eV/f.u., final energy -6.87 eV/atom. Number 15: Fermi-level density of states 79.28 states/eV/f.u., final energy -7.09 eV/atom. Number 16: Fermi-level density of states 36.81 states/eV/f.u., final energy -6.88 eV/atom. Number 17: Fermi-level density of states 16.17 states/eV/f.u., final energy -6.05 eV/atom. Number 18: Fermi-level density of states 14.93 states/eV/f.u., final energy -5.91 eV/atom. Number 19: Fermi-level density of states 25.90 states/eV/f.u., final energy -7.71 eV/atom.